Record 1
Rb2GeF4: optimized geometry, PBE.

Calculated values
* formation energy from raw total energies: -2.504 eV/atom
* theoretical density: 3118 kg/m3
* magnetic moment: 0.00 μB/f.u.
* offset from the most stable computed form: 0 meV per atom

abc: 5.890 7.217 9.699
angles: 55.64 90.00 90.00
Fractional positions:
F  0.250  0.312  0.671
Ge  0.750  0.039  0.092
Rb  0.250  0.722  0.363
F  0.978  0.117  0.187
F  0.022  0.883  0.813
Rb  0.250  0.468  0.889
Ge  0.250  0.961  0.908
Rb  0.750  0.532  0.111
F  0.750  0.688  0.329
F  0.478  0.883  0.813
F  0.750  0.369  0.894
F  0.250  0.631  0.106
F  0.522  0.117  0.187
Rb  0.750  0.278  0.637

=====

Record 2
Rb2GeF7: optimized geometry, PBE.

Calculated values
* formation energy from raw total energies: -2.368 eV/atom
* theoretical density: 3553 kg/m3
* magnetic moment: 1.00 μB/f.u.
* offset from the most stable computed form: 0 meV per atom

abc: 6.195 6.195 6.342
angles: 60.76 60.76 90.00
Last column: magnetic moment on the atom in μB.
Fractional positions:
F  0.801  0.801  0.399  0.01
F  0.209  0.791  0.000  0.04
F  0.209  0.209  0.000  0.04
Ge  0.000  0.000  0.000  0.01
F  0.500  0.500  0.000  0.71
F  0.791  0.791  0.000  0.04
Rb  0.250  0.750  0.500  0.00
F  0.791  0.209  0.000  0.04
F  0.199  0.199  0.601  0.01
Rb  0.750  0.250  0.500  0.00

=====

Record 3
Rb6GeF12: optimized geometry, PBE.

Calculated values
* formation energy from raw total energies: -2.428 eV/atom
* theoretical density: 3179 kg/m3
* magnetic moment: 2.00 μB/f.u.

abc: 7.623 7.623 7.623
angles: 98.94 98.94 98.94
Last column: magnetic moment on the atom in μB.
Fractional positions:
F  0.758  0.945  0.010  0.00
F  0.582  0.143  0.476  0.29
Ge  0.000  0.000  0.000  0.00
F  0.524  0.418  0.857  0.29
F  0.143  0.476  0.582  0.29
F  0.857  0.524  0.418  0.29
F  0.055  0.990  0.242  0.00
F  0.242  0.055  0.990  0.00
Rb  0.158  0.605  0.265  0.00
Rb  0.265  0.158  0.605  0.00
F  0.945  0.010  0.758  0.00
F  0.476  0.582  0.143  0.29
Rb  0.605  0.265  0.158  0.00
Rb  0.735  0.842  0.395  0.00
Rb  0.395  0.735  0.842  0.00
F  0.418  0.857  0.524  0.29
F  0.010  0.758  0.945  0.00
F  0.990  0.242  0.055  0.00
Rb  0.842  0.395  0.735  0.00

=====

Record 4
RbGeF5: optimized geometry, PBE.

Calculated values
* formation energy from raw total energies: -2.634 eV/atom
* theoretical density: 3398 kg/m3
* magnetic moment: 0.00 μB/f.u.

abc: 6.853 6.853 6.848
angles: 110.76 108.82 108.86
Fractional positions:
Rb  0.501  0.251  0.750
Rb  0.499  0.749  0.250
F  0.775  0.273  0.498
F  0.225  0.000  0.225
Ge  0.000  0.000  0.000
F  0.775  0.777  0.002
F  0.225  0.500  0.725
F  0.775  0.500  0.275
F  0.003  0.253  0.250
F  0.225  0.223  0.998
F  0.225  0.727  0.502
F  0.775  0.000  0.775
F  0.997  0.747  0.750
Ge  0.000  0.500  0.500

=====

Record 5
RbGeF2: optimized geometry, PBE.

Calculated values
* formation energy from raw total energies: -1.299 eV/atom
* theoretical density: 4331 kg/m3
* magnetic moment: 1.00 μB/f.u.
* offset from the most stable computed form: 567 meV per atom

abc: 4.738 4.738 4.738
angles: 60.00 60.00 60.00
Last column: magnetic moment on the atom in μB.
Fractional positions:
F  0.750  0.750  0.750  0.02
Rb  0.500  0.500  0.500  0.03
F  0.250  0.250  0.250  0.02
Ge  0.000  0.000  0.000  0.43

=====

Record 6
Rb2GeF: optimized geometry, PBE.

Calculated values
* formation energy from raw total energies: -0.678 eV/atom
* theoretical density: 3152 kg/m3
* magnetic moment: 3.00 μB/f.u.
* offset from the most stable computed form: 204 meV per atom

abc: 5.805 5.805 5.805
angles: 60.00 60.00 60.00
Last column: magnetic moment on the atom in μB.
Fractional positions:
Rb  0.250  0.250  0.250  0.06
Ge  0.500  0.500  0.500  0.98
F  0.000  0.000  0.000  0.07
Rb  0.750  0.750  0.750  0.06

=====

Record 7
Rb3GeF: optimized geometry, PBE.

Calculated values
* formation energy from raw total energies: -1.021 eV/atom
* theoretical density: 2679 kg/m3
* magnetic moment: 0.00 μB/f.u.
* offset from the most stable computed form: 0 meV per atom

abc: 5.218 8.740 11.611
angles: 72.81 79.59 58.56
Fractional positions:
Rb  0.132  0.177  0.920
F  0.658  0.387  0.385
Ge  0.755  0.944  0.114
Rb  0.061  0.046  0.329
Rb  0.660  0.247  0.640
F  0.030  0.374  0.674
Ge  0.934  0.817  0.945
Rb  0.027  0.514  0.419
Rb  0.627  0.715  0.731
Rb  0.557  0.583  0.139

=====

Record 8
Rb2GeF7: optimized geometry, PBE.

Calculated values
* formation energy from raw total energies: -2.342 eV/atom
* theoretical density: 3563 kg/m3
* magnetic moment: 0.92 μB/f.u.
* offset from the most stable computed form: 26 meV per atom

abc: 6.094 8.718 7.681
angles: 81.63 66.63 69.54
Last column: magnetic moment on the atom in μB.
Fractional positions:
Rb  0.302  0.561  0.763  0.00
F  0.295  0.283  0.581  0.05
F  0.881  0.962  0.318  0.00
F  0.948  0.308  0.501  0.22
F  0.159  0.217  0.919  0.05
Rb  0.373  0.061  0.263  0.00
Rb  0.698  0.439  0.237  0.00
Ge  0.010  0.750  0.250  -0.01
F  0.161  0.538  0.182  0.00
F  0.841  0.783  0.081  0.05
Rb  0.627  0.939  0.737  0.00
F  0.839  0.462  0.818  0.00
F  0.052  0.692  0.499  0.22
Ge  0.990  0.250  0.750  -0.01
F  0.664  0.250  0.750  0.32
F  0.705  0.717  0.419  0.05
F  0.757  0.192  0.999  0.22
F  0.119  0.038  0.682  0.00
F  0.336  0.750  0.250  0.32
F  0.243  0.808  0.001  0.22

=====

Record 9
RbGe2F: optimized geometry, PBE.

Calculated values
* formation energy from raw total energies: 0.270 eV/atom
* theoretical density: 4256 kg/m3
* magnetic moment: 0.00 μB/f.u.
* offset from the most stable computed form: 741 meV per atom

abc: 5.165 5.165 5.165
angles: 60.00 60.00 60.00
Fractional positions:
F  0.000  0.000  0.000
Rb  0.500  0.500  0.500
Ge  0.750  0.750  0.750
Ge  0.250  0.250  0.250

=====

Record 10
Rb3GeF7: optimized geometry, PBE.

Calculated values
* formation energy from raw total energies: -2.744 eV/atom
* theoretical density: 3800 kg/m3
* magnetic moment: 0.10 μB/f.u.
* offset from the most stable computed form: 0 meV per atom

abc: 8.210 8.210 5.990
angles: 90.00 90.00 90.00
Last column: magnetic moment on the atom in μB.
Fractional positions:
F  0.110  0.610  0.781  0.00
F  0.842  0.658  0.000  0.00
F  0.610  0.890  0.781  0.00
F  0.390  0.110  0.781  0.00
Rb  0.194  0.306  0.500  0.00
F  0.000  0.000  0.500  0.08
F  0.890  0.390  0.219  0.00
Rb  0.806  0.694  0.500  0.00
F  0.342  0.842  0.000  0.00
F  0.158  0.342  0.000  0.00
F  0.500  0.500  0.500  0.08
Ge  0.000  0.500  0.000  0.00
Rb  0.500  0.500  0.000  0.00
F  0.110  0.610  0.219  0.00
F  0.658  0.158  0.000  0.00
Rb  0.000  0.000  0.000  0.00
Ge  0.500  0.000  0.000  0.00
F  0.610  0.890  0.219  0.00
F  0.890  0.390  0.781  0.00
Rb  0.306  0.806  0.500  0.00
Rb  0.694  0.194  0.500  0.00
F  0.390  0.110  0.219  0.00

=====

Record 11
RbGe3F: optimized geometry, PBE.

Calculated values
* formation energy from raw total energies: 0.084 eV/atom
* theoretical density: 4479 kg/m3
* magnetic moment: 0.00 μB/f.u.
* offset from the most stable computed form: 0 meV per atom

abc: 4.926 4.926 4.926
angles: 90.00 90.00 90.00
Fractional positions:
Ge  0.500  0.000  0.000
Rb  0.500  0.500  0.500
F  0.000  0.000  0.000
Ge  0.000  0.500  0.000
Ge  0.000  0.000  0.500

=====

Record 12
Rb2GeF4: optimized geometry, PBE.

Calculated values
* formation energy from raw total energies: -2.451 eV/atom
* theoretical density: 3725 kg/m3
* magnetic moment: 0.00 μB/f.u.
* offset from the most stable computed form: 53 meV per atom

abc: 4.489 4.489 7.750
angles: 73.16 73.16 90.00
Fractional positions:
Rb  0.646  0.646  0.708
F  0.000  0.500  0.000
F  0.842  0.842  0.316
Rb  0.354  0.354  0.292
F  0.500  0.000  0.000
F  0.158  0.158  0.684
Ge  0.000  0.000  0.000

=====

Record 13
Rb2GeF6: optimized geometry, PBE.

Calculated values
* formation energy from raw total energies: -2.760 eV/atom
* theoretical density: 3771 kg/m3
* magnetic moment: 0.01 μB/f.u.
* offset from the most stable computed form: 3 meV per atom

abc: 6.066 6.066 9.883
angles: 90.00 90.00 120.00
Fractional positions:
F  0.525  0.049  0.648
F  0.188  0.812  0.360
Rb  0.000  0.000  0.596
F  0.951  0.475  0.648
F  0.812  0.624  0.860
F  0.525  0.475  0.648
Ge  0.333  0.667  0.257
F  0.376  0.188  0.860
F  0.188  0.376  0.360
F  0.049  0.525  0.148
F  0.475  0.951  0.148
Rb  0.333  0.667  0.872
F  0.624  0.812  0.360
Rb  0.667  0.333  0.372
F  0.475  0.525  0.148
Rb  0.000  0.000  0.096
F  0.812  0.188  0.860
Ge  0.667  0.333  0.757

=====

Record 14
Rb3GeF: optimized geometry, PBE.

Calculated values
* formation energy from raw total energies: -0.922 eV/atom
* theoretical density: 3200 kg/m3
* magnetic moment: 2.00 μB/f.u.
* offset from the most stable computed form: 99 meV per atom

abc: 5.653 5.653 5.653
angles: 90.00 90.00 90.00
Last column: magnetic moment on the atom in μB.
Fractional positions:
Ge  0.500  0.500  0.500  0.59
Rb  0.000  0.000  0.500  0.02
Rb  0.500  0.000  0.000  0.03
Rb  0.000  0.500  0.000  0.02
F  0.000  0.000  0.000  0.00

=====

Record 15
Rb3GeF7: optimized geometry, PBE.

Calculated values
* formation energy from raw total energies: -2.728 eV/atom
* theoretical density: 3578 kg/m3
* magnetic moment: 0.10 μB/f.u.
* offset from the most stable computed form: 15 meV per atom

abc: 5.721 5.721 6.552
angles: 89.89 89.89 90.54
Last column: magnetic moment on the atom in μB.
Fractional positions:
F  0.550  0.550  0.506  0.08
F  0.210  0.210  0.190  0.00
Rb  0.551  0.551  0.951  0.00
Ge  0.059  0.059  0.978  0.00
F  0.910  0.910  0.765  0.00
Rb  0.554  0.051  0.475  0.00
F  0.340  0.021  0.848  0.00
F  0.099  0.780  0.108  0.00
Rb  0.051  0.554  0.475  0.00
F  0.021  0.340  0.848  0.00
F  0.780  0.099  0.108  0.00

=====

Record 16
RbReGeF2: optimized geometry, PBE.

Calculated values
* formation energy from raw total energies: 0.510 eV/atom
* theoretical density: 4870 kg/m3
* magnetic moment: 3.79 μB/f.u.

abc: 4.613 6.126 4.613
angles: 90.00 90.00 90.00
Last column: magnetic moment on the atom in μB.
Fractional positions:
F  0.000  0.000  0.500  0.00
F  0.500  0.000  0.000  0.01
Rb  0.000  0.000  0.000  -0.01
Ge  0.000  0.500  0.000  -0.30
Re  0.500  0.500  0.500  3.69

=====

Record 17
Rb2GeRhF6: optimized geometry, PBE.

Calculated values
* formation energy from raw total energies: -2.076 eV/atom
* theoretical density: 4554 kg/m3
* magnetic moment: 1.00 μB/f.u.

abc: 6.196 6.196 6.191
angles: 59.97 59.97 90.00
Last column: magnetic moment on the atom in μB.
Fractional positions:
F  0.250  0.250  0.500  0.01
Rh  0.000  0.000  0.000  0.89
F  0.251  0.251  0.000  0.01
F  0.749  0.749  0.000  0.01
Ge  0.500  0.500  0.000  0.02
Rb  0.250  0.750  0.500  0.00
F  0.750  0.750  0.500  0.01
Rb  0.750  0.250  0.500  0.00
F  0.749  0.251  0.000  0.01
F  0.251  0.749  0.000  0.01

=====

Record 18
Rb2GeRuF6: optimized geometry, PBE.

Calculated values
* formation energy from raw total energies: -2.040 eV/atom
* theoretical density: 4599 kg/m3
* magnetic moment: 0.18 μB/f.u.

abc: 6.163 6.163 6.164
angles: 60.01 60.01 90.00
Last column: magnetic moment on the atom in μB.
Fractional positions:
F  0.755  0.755  0.491  0.00
F  0.245  0.245  0.509  0.00
F  0.755  0.245  0.000  0.00
Ge  0.500  0.500  0.000  0.00
Rb  0.750  0.250  0.500  0.00
Rb  0.250  0.750  0.500  0.00
F  0.245  0.755  0.000  0.00
F  0.245  0.245  0.000  0.00
Ru  0.000  0.000  0.000  0.16
F  0.755  0.755  0.000  0.00

=====

Record 19
Rb2GeSF6: optimized geometry, PBE.

Calculated values
* formation energy from raw total energies: -2.142 eV/atom
* theoretical density: 3180 kg/m3
* magnetic moment: 2.00 μB/f.u.

abc: 6.414 6.414 6.711
angles: 61.45 61.45 90.00
Last column: magnetic moment on the atom in μB.
Fractional positions:
F  0.203  0.203  0.000  0.03
F  0.815  0.815  0.370  0.01
F  0.797  0.203  0.000  0.03
Rb  0.250  0.750  0.500  0.00
Ge  0.000  0.000  0.000  0.02
F  0.203  0.797  0.000  0.03
Rb  0.750  0.250  0.500  0.00
S  0.500  0.500  0.000  1.10
F  0.185  0.185  0.630  0.01
F  0.797  0.797  0.000  0.03

=====

Record 20
Rb2GeSbF6: optimized geometry, PBE.

Calculated values
* formation energy from raw total energies: -2.212 eV/atom
* theoretical density: 3793 kg/m3
* magnetic moment: 1.00 μB/f.u.

abc: 6.325 6.325 6.893
angles: 62.69 62.69 90.00
Last column: magnetic moment on the atom in μB.
Fractional positions:
F  0.247  0.247  0.000  0.02
Rb  0.250  0.750  0.500  0.00
F  0.753  0.247  0.000  0.02
F  0.247  0.753  0.000  0.02
F  0.704  0.704  0.592  0.03
Rb  0.750  0.250  0.500  0.00
F  0.296  0.296  0.408  0.03
Sb  0.000  0.000  0.000  0.36
F  0.753  0.753  0.000  0.02
Ge  0.500  0.500  0.000  0.01

=====

Number 1: E_tot -4.509 eV/atom. Number 2: E_tot -4.333 eV/atom. Number 3: E_tot -4.159 eV/atom. Number 4: E_tot -4.768 eV/atom. Number 5: E_tot -3.631 eV/atom. Number 6: E_tot -2.784 eV/atom. Number 7: E_tot -2.899 eV/atom. Number 8: E_tot -4.308 eV/atom. Number 9: E_tot -2.748 eV/atom. Number 10: E_tot -4.618 eV/atom. Number 11: E_tot -3.254 eV/atom. Number 12: E_tot -4.456 eV/atom. Number 13: E_tot -4.736 eV/atom. Number 14: E_tot -2.800 eV/atom. Number 15: E_tot -4.603 eV/atom. Number 16: E_tot -3.845 eV/atom. Number 17: E_tot -4.589 eV/atom. Number 18: E_tot -4.745 eV/atom. Number 19: E_tot -4.332 eV/atom. Number 20: E_tot -4.402 eV/atom.